ZnTe2OsN: optimized geometry, PBE.

```
ZnTe2OsN
1.0
5.5073 0.0000 0.0000
0.0000 5.5073 0.0000
0.0000 0.0000 3.6635
Zn Te Os N
1 2 1 1
direct
0.0000 0.0000 0.0000 Zn
0.0000 0.5000 0.5000 Te
0.5000 0.0000 0.5000 Te
0.5000 0.5000 0.5000 Os
0.5000 0.5000 0.0000 N
```

Properties
E above lowest polymorph = 0.00 eV per formula unit
Crystal system = tetragonal
V = 22.2 A^3/atom
Total magnetization = 0.0 μB/f.u.
Final energy = -5.039 eV per atom
Raw formation energy = 0.38 eV per atom